First-principles (PBE) data for a relaxed structure of GaRh, as listed in Alexandria via LeMat-Bulk.

Unit cell a=6.4098 b=6.4098 c=6.4098 alpha=97.32 beta=97.32 gamma=138.16
Atoms (fractional coordinates):
Ga 0.1566 0.2846 0.4411
Ga 0.2846 0.8434 0.1280
Ga 0.7154 0.1566 0.8720
Ga 0.8434 0.7154 0.5589
Rh 0.1162 0.6061 0.7223
Rh 0.3939 0.1162 0.5102
Rh 0.6061 0.8838 0.4898
Rh 0.8838 0.3939 0.2777

Computed properties:
Fermi-level density of states, states/eV per cell: 4.33
Raw total energy, eV per atom: -5.471


First-principles (PBE) data for a relaxed structure of GaRh, as listed in Alexandria via LeMat-Bulk.

Unit cell a=3.5544 b=3.5544 c=3.5544 alpha=60.00 beta=60.00 gamma=60.00
Atoms (fractional coordinates):
Ga 0.0000 0.0000 0.0000
Rh 0.5000 0.5000 0.5000

Computed properties:
Fermi-level density of states, states/eV per cell: 0.70
Raw total energy, eV per atom: -5.522


First-principles (PBE) data for a relaxed structure of GaRh, as listed in Alexandria via LeMat-Bulk.

Unit cell a=2.9662 b=4.6675 c=4.2441 alpha=90.00 beta=90.00 gamma=90.00
Atoms (fractional coordinates):
Ga 0.2500 0.2500 0.1182
Ga 0.7500 0.7500 0.8818
Rh 0.2500 0.7500 0.3827
Rh 0.7500 0.2500 0.6173

Computed properties:
Fermi-level density of states, states/eV per cell: 2.21
Raw total energy, eV per atom: -5.681


First-principles (PBE) data for a relaxed structure of GaRh3, as listed in Alexandria via LeMat-Bulk.

Unit cell a=5.1265 b=5.1265 c=5.1265 alpha=148.52 beta=64.48 gamma=125.31
Atoms (fractional coordinates):
Ga 0.0000 0.0000 0.0000
Rh 0.4064 0.6630 0.7434
Rh 0.5085 0.0085 0.5000
Rh 0.9196 0.6630 0.2566

Computed properties:
Fermi-level density of states, states/eV per cell: 3.44
Raw total energy, eV per atom: -6.558


First-principles (PBE) data for a relaxed structure of GaRh, as listed in Alexandria via LeMat-Bulk.

Unit cell a=9.0964 b=7.3240 c=5.7774 alpha=87.10 beta=53.53 gamma=39.37
Atoms (fractional coordinates):
Ga 0.0094 0.7406 0.0094
Ga 0.2594 0.9906 0.2594
Ga 0.7406 0.0094 0.7406
Ga 0.9906 0.2594 0.9906
Rh 0.2683 0.2683 0.4817
Rh 0.4817 0.4817 0.2683
Rh 0.5183 0.5183 0.7317
Rh 0.7317 0.7317 0.5183

Computed properties:
Fermi-level density of states, states/eV per cell: 4.49
Raw total energy, eV per atom: -5.718


First-principles (PBE) data for a relaxed structure of GaRh7, as listed in Alexandria via LeMat-Bulk.

Unit cell a=5.4289 b=5.4289 c=5.4289 alpha=60.00 beta=60.00 gamma=60.00
Atoms (fractional coordinates):
Ga 0.0000 0.0000 0.0000
Rh 0.0000 0.0000 0.5000
Rh 0.0000 0.5000 0.0000
Rh 0.0000 0.5000 0.5000
Rh 0.5000 0.0000 0.0000
Rh 0.5000 0.0000 0.5000
Rh 0.5000 0.5000 0.0000
Rh 0.5000 0.5000 0.5000

Computed properties:
Fermi-level density of states, states/eV per cell: 7.46
Raw total energy, eV per atom: -6.989


First-principles (PBE) data for a relaxed structure of GaRh, as listed in Alexandria via LeMat-Bulk.

Unit cell a=4.1747 b=4.9862 c=4.9862 alpha=111.70 beta=90.00 gamma=90.00
Atoms (fractional coordinates):
Ga 0.0000 0.0000 0.0000
Ga 0.5000 0.4387 0.8159
Ga 0.5000 0.8159 0.4387
Rh 0.0000 0.1320 0.5726
Rh 0.0000 0.5726 0.1320
Rh 0.5000 0.2731 0.2731

Computed properties:
Fermi-level density of states, states/eV per cell: 3.18
Raw total energy, eV per atom: -5.627


First-principles (PBE) data for a relaxed structure of GaRh, as listed in Alexandria via LeMat-Bulk.

Unit cell a=7.0169 b=7.0169 c=4.6273 alpha=90.00 beta=90.00 gamma=120.00
Atoms (fractional coordinates):
Ga 0.0709 0.2999 0.2500
Ga 0.2290 0.9291 0.2500
Ga 0.2999 0.2290 0.7500
Ga 0.7001 0.7710 0.2500
Ga 0.7710 0.0709 0.7500
Ga 0.9291 0.7001 0.7500
Rh 0.0987 0.4461 0.7500
Rh 0.3475 0.9013 0.7500
Rh 0.4461 0.3475 0.2500
Rh 0.5539 0.6525 0.7500
Rh 0.6525 0.0987 0.2500
Rh 0.9013 0.5539 0.2500

Computed properties:
Fermi-level density of states, states/eV per cell: 7.40
Raw total energy, eV per atom: -5.509


First-principles (PBE) data for a relaxed structure of GaRh, as listed in Alexandria via LeMat-Bulk.

Unit cell a=5.7693 b=6.1403 c=7.0903 alpha=90.00 beta=90.00 gamma=90.00
Atoms (fractional coordinates):
Ga 0.1212 0.0208 0.1620
Ga 0.1211 0.4149 0.9997
Ga 0.3789 0.5851 0.4997
Ga 0.3788 0.9792 0.6620
Ga 0.6211 0.0851 0.0003
Ga 0.6212 0.4792 0.8380
Ga 0.8788 0.5208 0.3380
Ga 0.8789 0.9149 0.5003
Rh 0.0062 0.5871 0.6857
Rh 0.1644 0.2349 0.4518
Rh 0.3356 0.7651 0.9518
Rh 0.4938 0.4129 0.1857
Rh 0.5062 0.9129 0.3143
Rh 0.6644 0.2651 0.5482
Rh 0.8356 0.7349 0.0482
Rh 0.9938 0.0871 0.8143

Computed properties:
Fermi-level density of states, states/eV per cell: 4.93
Raw total energy, eV per atom: -5.629


First-principles (PBE) data for a relaxed structure of Ga7Rh3, as listed in Alexandria via LeMat-Bulk.

Unit cell a=7.6133 b=7.6133 c=7.6133 alpha=109.47 beta=109.47 gamma=109.47
Atoms (fractional coordinates):
Ga 0.0000 0.0000 0.3190
Ga 0.0000 0.0000 0.6810
Ga 0.0000 0.3190 0.0000
Ga 0.0000 0.6810 0.0000
Ga 0.2500 0.5000 0.7500
Ga 0.2500 0.7500 0.5000
Ga 0.3190 0.0000 0.0000
Ga 0.3190 0.3190 0.3190
Ga 0.5000 0.2500 0.7500
Ga 0.5000 0.7500 0.2500
Ga 0.6810 0.0000 0.0000
Ga 0.6810 0.6810 0.6810
Ga 0.7500 0.2500 0.5000
Ga 0.7500 0.5000 0.2500
Rh 0.0000 0.3423 0.3423
Rh 0.0000 0.6577 0.6577
Rh 0.3423 0.0000 0.3423
Rh 0.3423 0.3423 0.0000
Rh 0.6577 0.0000 0.6577
Rh 0.6577 0.6577 0.0000

Computed properties:
Fermi-level density of states, states/eV per cell: 9.75
Raw total energy, eV per atom: -4.762


First-principles (PBE) data for a relaxed structure of Ga5Rh2, as listed in Alexandria via LeMat-Bulk.

Unit cell a=7.0140 b=7.0140 c=7.4374 alpha=102.54 beta=102.54 gamma=40.01
Atoms (fractional coordinates):
Ga 0.1614 0.2986 0.3458
Ga 0.1697 0.8303 0.7500
Ga 0.2671 0.5695 0.0806
Ga 0.2986 0.1614 0.8458
Ga 0.4305 0.7329 0.4194
Ga 0.5695 0.2671 0.5806
Ga 0.7014 0.8386 0.1542
Ga 0.7329 0.4305 0.9194
Ga 0.8303 0.1697 0.2500
Ga 0.8386 0.7014 0.6542
Rh 0.0377 0.7473 0.4281
Rh 0.2527 0.9623 0.0719
Rh 0.7473 0.0377 0.9281
Rh 0.9623 0.2527 0.5719

Computed properties:
Fermi-level density of states, states/eV per cell: 2.26
Raw total energy, eV per atom: -4.742


First-principles (PBE) data for a relaxed structure of GaRh, as listed in Alexandria via LeMat-Bulk.

Unit cell a=6.7829 b=6.7829 c=6.7829 alpha=90.00 beta=90.00 gamma=90.00
Atoms (fractional coordinates):
Ga 0.0000 0.2500 0.5000
Ga 0.0000 0.7500 0.5000
Ga 0.2500 0.5000 0.0000
Ga 0.5000 0.0000 0.2500
Ga 0.5000 0.0000 0.7500
Ga 0.7500 0.5000 0.0000
Rh 0.0000 0.5000 0.2500
Rh 0.0000 0.5000 0.7500
Rh 0.2500 0.0000 0.5000
Rh 0.5000 0.2500 0.0000
Rh 0.5000 0.7500 0.0000
Rh 0.7500 0.0000 0.5000

Computed properties:
Fermi-level density of states, states/eV per cell: 5.69
Raw total energy, eV per atom: -4.939